Computed, not measured: an optimized crystal structure of La7Pm4Tm at the PBE level of DFT.

Computed properties:
- final energy (eV per cell) = -57.75
- volume (Å³/atom) = 35.6
- polymorph energy (0 for the lowest one) (meV/atom) = 0
- energy relative to the elements (eV per atom) = 0.02

a b c (Å): 6.446 7.407 9.212
angles (deg): 90.10 103.45 90.03
Sites, in units of the cell vectors:
La 0.000 0.000 0.000
La 0.219 0.499 0.668
La 0.280 0.750 0.332
La 0.500 0.252 0.001
La 0.500 0.748 0.999
La 0.720 0.250 0.668
La 0.781 0.501 0.332
Pm 0.223 0.000 0.668
Pm 0.277 0.250 0.328
Pm 0.723 0.750 0.672
Pm 0.777 0.000 0.332
Tm 0.000 0.500 0.000